(1)
CaCd5, relaxed, DFT GGA-PBEsol; symmetry = C2/m (12); energy of formation = -200.1 meV per atom; crystal system = monoclinic
1.0
4.337 -2.439 0.000
4.337 2.439 0.000
-0.623 0.000 6.416
Ca Cd
1 5
Direct
0.000 0.000 0.000 Ca
0.000 0.000 0.500 Cd
0.315 0.315 0.745 Cd
0.356 0.356 0.258 Cd
0.644 0.644 0.742 Cd
0.685 0.685 0.255 Cd

(2)
TiBeIO2, relaxed, DFT GGA-PBEsol; symmetry = P4/mmm (123); crystal system = tetragonal; formation energy without anion corrections = -1100 meV per atom
1.0
3.767 0.000 0.000
0.000 3.767 0.000
0.000 0.000 5.761
Ti Be I O
1 1 1 2
Direct
0.000 0.000 0.000 Ti
0.500 0.500 0.500 Be
0.000 0.000 0.500 I
0.000 0.500 0.000 O
0.500 0.000 0.000 O

(3)
YCo4Pb, relaxed, DFT GGA-PBEsol; symmetry = F-43m (216); energy of formation = -6.9 meV per atom; crystal system = cubic
1.0
0.000 3.500 3.500
3.500 0.000 3.500
3.500 3.500 0.000
Y Co Pb
1 4 1
Direct
0.000 0.000 0.000 Y
0.375 0.375 0.375 Co
0.375 0.375 0.874 Co
0.375 0.874 0.375 Co
0.874 0.375 0.375 Co
0.750 0.750 0.750 Pb

(4)
SrCdW2, relaxed, DFT GGA-PBEsol; symmetry = Imm2 (44); energy of formation = 961.3 meV per atom; crystal system = orthorhombic
1.0
-1.657 2.639 5.024
1.657 -2.639 5.024
1.657 2.639 -5.024
Sr Cd W
1 1 2
Direct
0.000 0.000 0.000 Sr
0.714 0.214 0.500 Cd
0.280 0.780 0.500 W
0.456 0.456 0.000 W

(5)
MgCoRe, relaxed, DFT GGA-PBEsol; symmetry = I4mm (107); energy above the lowest structure with this stoichiometry = 0 meV/atom; energy of formation = 137.4 meV per atom; crystal system = tetragonal
1.0
-1.372 1.372 5.545
1.372 -1.372 5.545
1.372 1.372 -5.545
Mg Co Re
1 1 1
Direct
0.000 0.000 0.000 Mg
0.670 0.670 0.000 Co
0.304 0.304 0.000 Re

(6)
BaLa2In2O7, relaxed, DFT GGA-PBEsol; symmetry = P4_2/mnm (136); crystal system = tetragonal; formation energy without anion corrections = -2568 meV per atom
1.0
5.923 0.000 0.000
0.000 5.923 0.000
0.000 0.000 20.689
Ba La In O
4 8 8 28
Direct
0.241 0.241 0.000 Ba
0.259 0.741 0.500 Ba
0.741 0.259 0.500 Ba
0.759 0.759 0.000 Ba
0.224 0.224 0.185 La
0.224 0.224 0.815 La
0.276 0.724 0.315 La
0.276 0.724 0.685 La
0.724 0.276 0.315 La
0.724 0.276 0.685 La
0.776 0.776 0.185 La
0.776 0.776 0.815 La
0.242 0.242 0.398 In
0.242 0.242 0.602 In
0.258 0.742 0.102 In
0.258 0.742 0.898 In
0.742 0.258 0.102 In
0.742 0.258 0.898 In
0.758 0.758 0.398 In
0.758 0.758 0.602 In
0.000 0.000 0.091 O
0.000 0.000 0.366 O
0.000 0.000 0.634 O
0.000 0.000 0.909 O
0.000 0.500 0.114 O
0.000 0.500 0.386 O
0.000 0.500 0.614 O
0.000 0.500 0.886 O
0.184 0.816 0.211 O
0.184 0.816 0.789 O
0.202 0.202 0.500 O
0.298 0.702 0.000 O
0.316 0.316 0.289 O
0.316 0.316 0.711 O
0.500 0.000 0.114 O
0.500 0.000 0.386 O
0.500 0.000 0.614 O
0.500 0.000 0.886 O
0.500 0.500 0.134 O
0.500 0.500 0.409 O
0.500 0.500 0.591 O
0.500 0.500 0.866 O
0.684 0.684 0.289 O
0.684 0.684 0.711 O
0.702 0.298 0.000 O
0.798 0.798 0.500 O
0.816 0.184 0.211 O
0.816 0.184 0.789 O

(7)
NaMg3Au, relaxed, DFT GGA-PBEsol; symmetry = Pm-3m (221); energy of formation = -141.0 meV per atom; crystal system = cubic
1.0
5.145 0.000 0.000
0.000 5.145 0.000
0.000 0.000 5.145
Na Mg Au
1 3 1
Direct
0.000 0.000 0.000 Na
0.000 0.500 0.500 Mg
0.500 0.000 0.500 Mg
0.500 0.500 0.000 Mg
0.500 0.500 0.500 Au

(8)
Hf6NiSb2, relaxed, DFT GGA-PBEsol; symmetry = P-62m (189); crystal system = hexagonal; formation energy without anion corrections = -540 meV per atom
1.0
7.621 0.000 0.000
-3.811 6.600 0.000
0.000 0.000 3.573
Hf Ni Sb
6 1 2
Direct
0.000 0.398 0.000 Hf
0.000 0.760 0.500 Hf
0.240 0.240 0.500 Hf
0.398 0.000 0.000 Hf
0.602 0.602 0.000 Hf
0.760 0.000 0.500 Hf
0.000 0.000 0.000 Ni
0.333 0.667 0.500 Sb
0.667 0.333 0.500 Sb

(9)
TaTlSbTe2, relaxed, DFT GGA-PBEsol; symmetry = P4/mmm (123); crystal system = tetragonal; formation energy without anion corrections = 143 meV per atom
1.0
5.398 0.000 0.000
0.000 5.398 0.000
0.000 0.000 5.369
Ta Tl Sb Te
1 1 1 2
Direct
0.000 0.000 0.000 Ta
0.500 0.500 0.500 Tl
0.000 0.000 0.500 Sb
0.000 0.500 0.000 Te
0.500 0.000 0.000 Te

(10)
KNi3As3O11, relaxed, DFT GGA-PBEsol; symmetry = P2_1/c (14); crystal system = monoclinic; formation energy without anion corrections = -1087 meV per atom
1.0
9.999 0.000 0.000
0.000 9.661 0.000
-5.011 0.000 8.821
K Ni As O
4 12 12 44
Direct
0.093 0.234 0.092 K
0.093 0.266 0.592 K
0.907 0.734 0.408 K
0.907 0.766 0.908 K
0.239 0.641 0.885 Ni
0.239 0.859 0.385 Ni
0.411 0.634 0.237 Ni
0.411 0.866 0.737 Ni
0.412 0.127 0.903 Ni
0.412 0.373 0.403 Ni
0.588 0.627 0.597 Ni
0.588 0.873 0.097 Ni
0.589 0.134 0.263 Ni
0.589 0.366 0.763 Ni
0.761 0.141 0.615 Ni
0.761 0.359 0.115 Ni
0.090 0.556 0.239 As
0.090 0.944 0.739 As
0.271 0.573 0.589 As
0.271 0.927 0.089 As
0.404 0.154 0.568 As
0.404 0.346 0.068 As
0.596 0.654 0.932 As
0.596 0.846 0.432 As
0.729 0.073 0.911 As
0.729 0.427 0.411 As
0.910 0.056 0.261 As
0.910 0.444 0.761 As
0.063 0.534 0.890 O
0.063 0.966 0.390 O
0.078 0.731 0.230 O
0.078 0.769 0.730 O
0.109 0.510 0.421 O
0.109 0.990 0.921 O
0.247 0.516 0.732 O
0.247 0.984 0.232 O
0.257 0.750 0.065 O
0.257 0.750 0.565 O
0.259 0.000 0.748 O
0.259 0.500 0.248 O
0.265 0.237 0.414 O
0.265 0.263 0.914 O
0.399 0.523 0.065 O
0.399 0.977 0.565 O
0.420 0.226 0.734 O
0.420 0.274 0.234 O
0.428 0.007 0.086 O
0.428 0.493 0.586 O
0.431 0.744 0.914 O
0.431 0.756 0.414 O
0.569 0.244 0.586 O
0.569 0.256 0.086 O
0.572 0.507 0.414 O
0.572 0.993 0.914 O
0.580 0.726 0.766 O
0.580 0.774 0.266 O
0.601 0.023 0.435 O
0.601 0.477 0.935 O
0.735 0.737 0.086 O
0.735 0.763 0.586 O
0.741 0.000 0.252 O
0.741 0.500 0.752 O
0.743 0.250 0.435 O
0.743 0.250 0.935 O
0.753 0.016 0.768 O
0.753 0.484 0.268 O
0.891 0.010 0.079 O
0.891 0.490 0.579 O
0.922 0.231 0.270 O
0.922 0.269 0.770 O
0.937 0.034 0.610 O
0.937 0.466 0.110 O

(11)
BaSb3Cl, relaxed, DFT GGA-PBEsol; symmetry = Pm-3m (221); energy above the lowest structure with this stoichiometry = 0 meV/atom; crystal system = cubic; formation energy without anion corrections = -83 meV per atom
1.0
5.408 0.000 0.000
0.000 5.408 0.000
0.000 0.000 5.408
Ba Sb Cl
1 3 1
Direct
0.000 0.000 0.000 Ba
0.000 0.500 0.500 Sb
0.500 0.000 0.500 Sb
0.500 0.500 0.000 Sb
0.500 0.500 0.500 Cl

(12)
SrIr, relaxed, DFT GGA-PBEsol; symmetry = C2/m (12); energy of formation = -194.2 meV per atom; crystal system = monoclinic
1.0
3.747 -2.123 0.000
3.747 2.123 0.000
-2.493 0.000 8.040
Sr Ir
2 2
Direct
0.083 0.083 0.248 Sr
0.917 0.917 0.752 Sr
0.337 0.337 0.000 Ir
0.663 0.663 0.000 Ir

(13)
ZrReBr2, relaxed, DFT GGA-PBEsol; symmetry = P4mm (99); energy above the lowest structure with this stoichiometry = 0 meV/atom; crystal system = tetragonal; formation energy without anion corrections = -76 meV per atom
1.0
3.109 0.000 0.000
0.000 3.109 0.000
0.000 0.000 8.483
Zr Re Br
1 1 2
Direct
0.000 0.000 0.000 Zr
0.500 0.500 0.768 Re
0.000 0.000 0.584 Br
0.500 0.500 0.215 Br

(14)
NaRe2AuS, relaxed, DFT GGA-PBEsol; symmetry = P4/mmm (123); crystal system = tetragonal; formation energy without anion corrections = 3062 meV per atom
1.0
4.685 0.000 0.000
0.000 4.685 0.000
0.000 0.000 4.498
Na Re Au S
1 2 1 1
Direct
0.000 0.000 0.000 Na
0.000 0.500 0.000 Re
0.500 0.000 0.000 Re
0.000 0.000 0.500 Au
0.500 0.500 0.500 S

(15)
ReAs2P, relaxed, DFT GGA-PBEsol; symmetry = I-42d (122); energy of formation = 561.1 meV per atom; crystal system = tetragonal
1.0
-2.802 2.802 5.301
2.802 -2.802 5.301
2.802 2.802 -5.301
Re As P
2 4 2
Direct
0.000 0.000 0.000 Re
0.750 0.250 0.500 Re
0.121 0.625 0.996 As
0.375 0.371 0.496 As
0.629 0.125 0.004 As
0.875 0.879 0.504 As
0.250 0.750 0.500 P
0.500 0.500 0.000 P

(16)
Dy2SnAu2, relaxed, DFT GGA-PBEsol; symmetry = P4/mbm (127); energy of formation = -886.7 meV per atom; crystal system = tetragonal
1.0
7.760 0.000 0.000
0.000 7.760 0.000
0.000 0.000 3.732
Dy Sn Au
4 2 4
Direct
0.170 0.330 0.000 Dy
0.330 0.830 0.000 Dy
0.670 0.170 0.000 Dy
0.830 0.670 0.000 Dy
0.000 0.000 0.500 Sn
0.500 0.500 0.500 Sn
0.128 0.628 0.500 Au
0.372 0.128 0.500 Au
0.628 0.872 0.500 Au
0.872 0.372 0.500 Au

(17)
SbOF3, relaxed, DFT GGA-PBEsol; symmetry = P2_1/c (14); energy above the lowest structure with this stoichiometry = 38 meV/atom; crystal system = monoclinic; formation energy without anion corrections = -1929 meV per atom
1.0
7.591 0.000 0.000
0.000 4.930 0.000
-4.066 0.000 8.753
Sb O F
4 4 12
Direct
0.125 0.091 0.427 Sb
0.125 0.409 0.927 Sb
0.875 0.591 0.073 Sb
0.875 0.909 0.573 Sb
0.101 0.723 0.045 O
0.101 0.777 0.545 O
0.899 0.223 0.455 O
0.899 0.277 0.955 O
0.084 0.107 0.775 F
0.084 0.393 0.275 F
0.295 0.568 0.856 F
0.295 0.932 0.356 F
0.323 0.206 0.076 F
0.323 0.294 0.576 F
0.677 0.706 0.424 F
0.677 0.794 0.924 F
0.705 0.068 0.644 F
0.705 0.432 0.144 F
0.916 0.607 0.725 F
0.916 0.893 0.225 F

(18)
Ba2CaWN4, relaxed, DFT GGA-PBEsol; symmetry = Fddd (70); crystal system = orthorhombic; formation energy without anion corrections = -1079 meV per atom
1.0
0.000 5.981 8.916
5.399 0.000 8.916
5.399 5.981 0.000
Ba Ca W N
8 4 4 16
Direct
0.053 0.697 0.697 Ba
0.264 0.264 0.486 Ba
0.303 0.947 0.947 Ba
0.486 0.486 0.264 Ba
0.514 0.514 0.736 Ba
0.697 0.053 0.053 Ba
0.736 0.736 0.514 Ba
0.947 0.303 0.303 Ba
0.037 0.037 0.713 Ca
0.287 0.287 0.963 Ca
0.713 0.713 0.037 Ca
0.963 0.963 0.287 Ca
0.132 0.618 0.132 W
0.382 0.868 0.382 W
0.618 0.132 0.618 W
0.868 0.382 0.868 W
0.035 0.385 0.883 N
0.076 0.658 0.373 N
0.117 0.803 0.965 N
0.197 0.883 0.385 N
0.342 0.924 0.606 N
0.373 0.394 0.076 N
0.385 0.035 0.197 N
0.394 0.373 0.658 N
0.606 0.627 0.342 N
0.615 0.965 0.803 N
0.627 0.606 0.924 N
0.658 0.076 0.394 N
0.803 0.117 0.615 N
0.883 0.197 0.035 N
0.924 0.342 0.627 N
0.965 0.615 0.117 N

(19)
MgCd2Fe, relaxed, DFT GGA-PBEsol; symmetry = I4/mmm (139); energy of formation = 220.6 meV per atom; crystal system = tetragonal
1.0
-2.092 2.092 3.981
2.092 -2.092 3.981
2.092 2.092 -3.981
Mg Cd Fe
1 2 1
Direct
0.000 0.000 0.000 Mg
0.250 0.750 0.500 Cd
0.750 0.250 0.500 Cd
0.500 0.500 0.000 Fe

(20)
MgTaMo2H, relaxed, DFT GGA-PBEsol; symmetry = P4/mmm (123); total energy = -7.000 eV per atom; crystal system = tetragonal
1.0
4.967 0.000 0.000
0.000 4.967 0.000
0.000 0.000 3.276
Mg Ta Mo H
1 1 2 1
Direct
0.000 0.000 0.000 Mg
0.500 0.500 0.500 Ta
0.000 0.500 0.500 Mo
0.500 0.000 0.500 Mo
0.500 0.500 0.000 H